## TaNiN2 (PBE)

Data for an optimized crystal structure of TaNiN2.

## Properties
**Size of the total moment**: 0.00 μB/atom
**D(E_F)**: 3.43 states/eV/cell
**Energy**: -33.743 eV/cell
**Raw formation energy**: 0.542 eV/f.u.
**Volume**: 9.31 Å³/atom

a b c (Å): 3.7485 3.7485 3.7485
angles (deg): 60.00 60.00 60.00
With the nearest neighbours (Å) after each atom.
Fractional coordinates of all 4 atoms:
Ta 0.0000 0.0000 0.0000  8 N 2.30
Ni 0.5000 0.5000 0.5000  8 N 2.30
N 0.2500 0.2500 0.2500  4 Ta 2.30, 4 Ni 2.30
N 0.7500 0.7500 0.7500  4 Ta 2.30, 4 Ni 2.30